No. 1
The following is a PBE-GGA calculation of an optimized crystal structure of AuSe4, from Alexandria.

POSCAR file:
```
AuSe4
1.0
6.2237 0.0000 0.0000
0.0000 5.4788 -1.9171
0.0000 -1.7263 8.6482
Au Se
2 8
Direct
0.0000 0.0000 0.0000
0.5000 0.0000 0.5000
0.2034 0.2783 0.2958
0.7034 0.7217 0.2042
0.7966 0.7217 0.7042
0.2966 0.2783 0.7958
0.8566 0.2748 0.5830
0.3566 0.7252 0.9170
0.1434 0.7252 0.4170
0.6434 0.2748 0.0830
```

## Properties
Formation energy (no corrections)   1.3 kcal/mol of atoms
Theoretical density   6.2 Mg/m³
V   274.3 Å³ per cell
M_tot   0.00 μB per formula unit
DOS(E_F)   1.84 states/eV/f.u.

---

No. 2
The following is a PBE-GGA calculation of an optimized crystal structure of Au2Se, from Alexandria.

POSCAR file:
```
Au2Se
1.0
0.0000 3.9422 3.9422
3.9422 0.0000 3.9422
3.9422 3.9422 0.0000
Au Se
4 2
Direct
0.6250 0.1250 0.1250
0.1250 0.6250 0.1250
0.1250 0.1250 0.6250
0.1250 0.1250 0.1250
0.5000 0.5000 0.5000
0.7500 0.7500 0.7500
```

## Properties
Formation energy (no corrections)   9.7 kcal/mol of atoms
Theoretical density   12.8 Mg/m³
V   122.5 Å³ per cell
M_tot   0.00 μB per formula unit
DOS(E_F)   2.15 states/eV/f.u.